DFT (meta-GGA SCAN) results for CrHg2Ru at its PBEsol-relaxed geometry.

abc: 2.940 4.752 9.597
angles: 90.00 90.00 90.00
Space group Imm2 (No. 44)
Asymmetric unit:
Cr  0.000  0.000  0.000
Hg  0.000  0.000  0.539
Hg  0.000  0.500  0.760
Ru  0.000  0.500  0.305

Calculated values
- E_form: 0.43 eV/atom
- Energy above the lowest structure with this stoichiometry: 0.000 eV/f.u.
- Mass density: 13.7 g cm⁻³
- Total magnetization: 5.21 μB/cell